(1)
Below is a geometry-optimized Sm7Tl4Ga structure, with properties calculated at the PBE level.

Cell and atoms, written as POSCAR:
```
Sm7Tl4Ga
1.0
-2.575 -0.652 -5.068
-9.145 -1.848 1.654
-3.195 6.814 -2.483
Sm Tl Ga
7 4 1
Cartesian
-11.772 1.635 -3.920
-3.143 2.679 -1.978
-7.007 -0.145 0.348
-7.908 4.459 -6.246
-8.577 3.637 -2.570
-1.288 -0.326 -2.534
-6.337 0.677 -3.328
-5.573 3.586 -4.090
-9.342 0.728 -1.807
-10.809 4.601 -4.791
-4.106 -0.287 -1.107
0.000 0.000 0.000
```

Summary:
- Calculated volume: 381.2 Å³/cell
- ΔH_f (0 K): -0.1336 eV per atom
- Crystal system: monoclinic

***

(2)
Below is a geometry-optimized Sm6TlGa structure, with properties calculated at the PBE level.

Cell and atoms, written as POSCAR:
```
Sm6TlGa
1.0
-3.636 0.619 3.196
0.664 -4.549 1.636
6.362 3.301 6.599
Sm Tl Ga
6 1 1
Cartesian
-1.486 -1.965 2.416
1.695 -0.315 5.715
-0.285 1.105 3.188
3.011 2.815 6.606
1.865 -1.479 2.408
5.160 0.231 5.827
3.181 1.651 3.299
0.000 0.000 0.000
```

Summary:
- Calculated volume: 232.0 Å³/cell
- ΔH_f (0 K): -0.2137 eV per atom
- Crystal system: tetragonal

***

(3)
Below is a geometry-optimized Sm2TlGa structure, with properties calculated at the PBE level.

Cell and atoms, written as POSCAR:
```
Sm2TlGa
1.0
5.324 0.000 0.000
2.662 4.611 0.000
2.662 1.537 4.347
Tl Ga Sm
1 1 2
Cartesian
0.000 0.000 0.000
5.324 3.074 2.174
2.662 1.537 1.087
7.987 4.611 3.261
```

Summary:
- Energy relative to the lowest polymorph listed for this composition: 28.6 meV/atom
- Calculated volume: 106.7 Å³/cell
- ΔH_f (0 K): -0.4429 eV per atom
- Crystal system: cubic

***

(4)
Below is a geometry-optimized Sm2TlGa structure, with properties calculated at the PBE level.

Cell and atoms, written as POSCAR:
```
Sm2TlGa
1.0
-1.701 -0.431 3.246
-2.744 -1.808 -1.679
3.777 -6.740 1.084
Tl Ga Sm
1 1 2
Cartesian
-0.334 -4.489 1.326
-2.223 -1.119 0.783
2.897 -5.171 0.832
0.879 -1.569 0.252
```

Summary:
- Energy relative to the lowest polymorph listed for this composition: 0.0 meV/atom
- Calculated volume: 106.2 Å³/cell
- ΔH_f (0 K): -0.4716 eV per atom
- Crystal system: tetragonal

***

(5)
Below is a geometry-optimized Sm4TlGa3 structure, with properties calculated at the PBE level.

Cell and atoms, written as POSCAR:
```
Sm4TlGa3
1.0
5.233 0.000 0.000
0.000 7.442 0.000
0.000 0.000 10.469
Tl Ga Sm
2 6 8
Cartesian
0.000 3.721 0.000
0.000 3.721 5.235
0.000 0.000 0.000
0.000 0.000 5.235
2.630 0.000 7.852
2.603 0.000 2.617
2.629 3.721 7.852
2.604 3.721 2.617
2.617 5.642 0.000
2.617 5.642 5.235
2.617 1.801 0.000
2.617 1.801 5.235
0.010 5.642 7.852
5.224 5.642 2.617
5.224 1.801 2.617
0.010 1.801 7.852
```

Summary:
- Calculated volume: 407.7 Å³/cell
- ΔH_f (0 K): -0.5049 eV per atom
- Crystal system: orthorhombic

***

(6)
Below is a geometry-optimized Sm7Tl2Ga2 structure, with properties calculated at the PBE level.

Cell and atoms, written as POSCAR:
```
Sm7Tl2Ga2
1.0
6.630 -0.003 -0.998
0.005 8.146 0.003
-1.409 -0.002 6.555
Sm Tl Ga
7 2 2
Cartesian
-0.703 2.438 3.278
3.318 5.706 -0.497
5.929 5.703 2.282
1.908 2.436 6.057
0.000 0.000 0.000
2.614 5.845 2.780
2.612 2.297 2.779
4.229 8.143 1.264
0.996 -0.002 4.295
4.354 4.069 4.633
0.872 4.072 0.927
```

Summary:
- Calculated volume: 342.6 Å³/cell
- ΔH_f (0 K): -0.0782 eV per atom
- Crystal system: orthorhombic

***

(7)
Below is a geometry-optimized Sm3TlGa2 structure, with properties calculated at the PBE level.

Cell and atoms, written as POSCAR:
```
Sm3TlGa2
1.0
-1.490 1.760 -2.880
-3.363 -0.499 1.434
0.909 9.889 5.574
Sm Tl Ga
3 1 2
Cartesian
0.000 0.000 0.000
0.621 6.757 3.809
0.288 3.133 1.766
-1.972 5.575 2.064
-1.662 8.944 3.963
-2.281 2.207 0.165
```

Summary:
- Calculated volume: 155.0 Å³/cell
- ΔH_f (0 K): -0.5047 eV per atom
- Crystal system: tetragonal

***

(8)
Below is a geometry-optimized SmTlGa4 structure, with properties calculated at the PBE level.

Cell and atoms, written as POSCAR:
```
SmTlGa4
1.0
-3.877 -3.545 -2.159
-2.145 -4.162 3.215
-5.391 0.269 1.767
Tl Ga Sm
1 4 1
Cartesian
0.000 0.000 0.000
-4.439 -4.782 0.881
-6.060 -2.569 0.158
-7.132 -4.648 1.764
-5.195 -2.877 2.843
-2.853 -1.859 0.706
```

Summary:
- Calculated volume: 129.5 Å³/cell
- ΔH_f (0 K): -0.2181 eV per atom
- Crystal system: cubic

***

(9)
Below is a geometry-optimized Sm12Tl2Ga5 structure, with properties calculated at the PBE level.

Cell and atoms, written as POSCAR:
```
Sm12Tl2Ga5
1.0
-6.628 1.016 -2.337
4.754 -5.757 -5.198
-3.347 -6.559 6.641
Sm Tl Ga
12 2 5
Cartesian
-2.781 -5.168 -5.145
-0.404 -9.374 2.442
-3.703 -8.868 1.279
1.113 -6.921 -0.908
-2.117 -6.426 -2.047
-0.956 -9.703 -1.506
-4.264 -1.598 0.612
-6.333 -4.380 0.014
-3.103 -4.875 1.153
-4.816 -1.927 -3.336
-1.517 -2.433 -2.173
-2.439 -6.133 4.251
-4.803 0.736 -1.693
-1.824 0.280 -0.643
-1.365 -7.274 0.710
0.396 -4.688 -3.161
-1.673 -3.280 3.321
-5.616 -6.613 2.268
-3.855 -4.027 -1.604
```

Summary:
- Calculated volume: 582.9 Å³/cell
- ΔH_f (0 K): -0.1914 eV per atom
- Crystal system: monoclinic

***

(10)
Below is a geometry-optimized Sm4Tl2Ga structure, with properties calculated at the PBE level.

Cell and atoms, written as POSCAR:
```
Sm4Tl2Ga
1.0
-6.121 -4.371 -3.734
6.813 -3.890 -2.921
-2.678 0.211 7.933
Sm Tl Ga
8 4 2
Cartesian
-4.767 -4.695 -1.229
1.774 -4.370 -0.586
-2.615 -6.612 1.383
-0.381 -7.559 -1.279
4.199 -5.395 -3.464
-3.057 -2.243 4.735
-0.548 -3.341 1.963
-2.449 -5.720 -3.782
-3.867 -3.507 1.810
0.873 -5.557 -3.627
-1.497 -4.534 -0.908
0.224 -2.242 4.925
2.599 -3.290 2.189
0.527 -1.402 -0.274
```

Summary:
- Energy relative to the lowest polymorph listed for this composition: 0.0 meV/atom
- Calculated volume: 420.7 Å³/cell
- ΔH_f (0 K): -0.3019 eV per atom
- Crystal system: triclinic

***

(11)
Below is a geometry-optimized Sm2TlGa structure, with properties calculated at the PBE level.

Cell and atoms, written as POSCAR:
```
Sm2TlGa
1.0
-2.646 2.727 -0.294
-2.059 0.321 -3.192
-7.868 -4.721 2.324
Tl Ga Sm
1 1 2
Cartesian
-6.286 -0.836 -0.581
0.000 0.000 0.000
-9.556 -1.369 -0.802
-3.017 -0.303 -0.360
```

Summary:
- Energy relative to the lowest polymorph listed for this composition: 128.6 meV/atom
- Calculated volume: 115.8 Å³/cell
- ΔH_f (0 K): -0.3430 eV per atom
- Crystal system: trigonal

***

(12)
Below is a geometry-optimized Sm12Tl6Ga structure, with properties calculated at the PBE level.

Cell and atoms, written as POSCAR:
```
Sm12Tl6Ga
1.0
-6.125 -2.465 5.170
5.179 -6.023 2.687
2.963 5.526 5.568
Sm Tl Ga
12 6 1
Cartesian
-0.735 -2.820 8.124
3.044 -2.895 7.540
1.325 0.378 8.521
2.752 -0.142 5.300
-1.027 -0.067 5.884
0.692 -3.341 4.903
-4.537 -1.257 7.346
-2.017 -6.165 6.382
-1.407 3.274 8.373
6.554 -1.705 6.078
4.033 3.203 7.042
3.424 -6.236 5.051
1.061 -5.460 7.381
-2.498 -2.950 5.360
3.913 -3.030 4.379
0.956 2.498 6.043
4.515 -0.012 8.064
-1.896 0.068 9.045
0.000 0.000 0.000
```

Summary:
- Calculated volume: 588.0 Å³/cell
- ΔH_f (0 K): -0.1958 eV per atom
- Crystal system: trigonal